[1]
AlReRh | meta-GGA SCAN | PBEsol geometry

abc: 4.066 4.066 4.066
angles: 60.00 60.00 60.00
Fractional positions:
Re: 0.000 0.000 0.000
Al: 0.750 0.750 0.750
Rh: 0.500 0.500 0.500

Its space group is F-43m, No. 216. The calculation puts the excess energy over the best structure of this formula in the dataset at 0.913 eV/atom. Its energy of formation is 0.47 eV/atom.

---

[2]
AlReRh3 | meta-GGA SCAN | PBEsol geometry

abc: 4.302 4.302 4.302
angles: 90.00 90.00 90.00
Fractional positions:
Rh: 0.500 0.000 0.000
Re: 0.500 0.500 0.500
Rh: 0.000 0.500 0.000
Al: 0.000 0.000 0.000
Rh: 0.000 0.000 0.500

Its space group is Pm-3m, No. 221. Its energy of formation is 0.99 eV/atom.

---

[3]
AlReRh2 | meta-GGA SCAN | PBEsol geometry

abc: 2.727 4.343 4.652
angles: 90.00 90.00 90.00
Fractional positions:
Rh: 0.000 0.000 0.047
Re: 0.500 0.500 0.200
Rh: 0.000 0.500 0.686
Al: 0.500 0.000 0.567

Its space group is Pmm2, No. 25. Its energy of formation is -0.45 eV/atom.

---

[4]
AlReRh2 | meta-GGA SCAN | PBEsol geometry

abc: 3.678 3.882 3.882
angles: 90.00 90.00 90.00
Fractional positions:
Re: 0.500 0.000 0.000
Rh: 0.000 0.500 0.000
Al: 0.500 0.500 0.500
Rh: 0.000 0.000 0.500

Its space group is P4/mmm, No. 123. Its energy of formation is -0.23 eV/atom.

---

[5]
AlReRh | meta-GGA SCAN | PBEsol geometry

abc: 2.735 2.735 5.906
angles: 103.38 103.38 90.00
Fractional positions:
Al: 0.996 0.996 0.992
Rh: 0.333 0.333 0.666
Re: 0.671 0.671 0.343

Its space group is I4mm, No. 107. The calculation puts the excess energy over the best structure of this formula in the dataset at 0.000 eV/atom. Its energy of formation is -0.44 eV/atom.

---

[6]
Al2ReRu | meta-GGA SCAN | PBEsol geometry

abc: 2.977 2.977 6.111
angles: 90.00 90.00 90.00
Fractional positions:
Al: 0.000 0.000 0.264
Al: 0.000 0.000 0.736
Ru: 0.500 0.500 0.500
Re: 0.500 0.500 0.000

Its space group is P4/mmm, No. 123. Its energy of formation is -0.51 eV/atom.

---

[7]
AlRe2Ru | meta-GGA SCAN | PBEsol geometry

abc: 2.940 4.391 5.050
angles: 115.77 106.92 90.00
Fractional positions:
Ru: 0.512 0.512 0.024
Al: 0.247 0.747 0.494
Re: 0.992 0.992 0.985
Re: 0.749 0.249 0.498

Its space group is Imm2, No. 44. Its energy of formation is -0.16 eV/atom.

---

[8]
Al2ReRu | meta-GGA SCAN | PBEsol geometry

abc: 5.352 5.452 5.452
angles: 76.06 60.61 60.61
Fractional positions:
Al: 0.875 0.513 0.987
Ru: 0.250 0.500 0.500
Ru: 0.500 0.000 0.000
Re: 0.750 0.500 0.500
Al: 0.375 0.487 0.013
Al: 0.612 0.013 0.513
Re: 0.000 0.000 0.000
Al: 0.138 0.987 0.487

Its space group is I-42d, No. 122. Its energy of formation is 0.37 eV/atom.

---

[9]
AlRe2Ru | meta-GGA SCAN | PBEsol geometry

abc: 2.765 2.765 8.745
angles: 80.90 80.90 60.00
Fractional positions:
Al: 0.248 0.248 0.255
Re: 0.000 0.000 0.999
Re: 0.751 0.751 0.747
Ru: 0.500 0.500 0.499

Its space group is R3m, No. 160. Its energy of formation is -0.12 eV/atom.

---

[10]
AlRe2Sb | meta-GGA SCAN | PBEsol geometry

abc: 2.974 2.974 8.004
angles: 90.00 90.00 90.00
Fractional positions:
Al: 0.500 0.500 0.814
Re: 0.500 0.500 0.212
Sb: 0.000 0.000 0.458
Re: 0.000 0.000 0.015

Its space group is P4mm, No. 99. For the raw total energy, the calculation gives -186.742 eV for the cell shown.

---

[11]
AlReSi2Sb | meta-GGA SCAN | PBEsol geometry

abc: 4.580 4.580 4.686
angles: 90.00 90.00 90.00
Fractional positions:
Re: 0.000 0.000 0.500
Al: 0.000 0.000 0.000
Si: 0.000 0.500 0.000
Sb: 0.500 0.500 0.500
Si: 0.500 0.000 0.000

Its space group is P4/mmm, No. 123. For the raw total energy, the calculation gives -128.946 eV for the cell shown.

---

[12]
AlReSb2Te | meta-GGA SCAN | PBEsol geometry

abc: 5.056 5.056 5.134
angles: 90.00 90.00 90.00
Fractional positions:
Re: 0.500 0.500 0.500
Sb: 0.000 0.500 0.000
Te: 0.000 0.000 0.500
Sb: 0.500 0.000 0.000
Al: 0.000 0.000 0.000

Its space group is P4/mmm, No. 123. For the raw total energy, the calculation gives -182.783 eV for the cell shown.

---

[13]
ScAl2Re | meta-GGA SCAN | PBEsol geometry

abc: 2.766 4.971 4.971
angles: 112.36 90.00 90.00
Fractional positions:
Sc: 0.500 0.500 0.500
Re: 0.500 0.000 0.000
Al: 0.000 0.000 0.500
Al: 0.000 0.500 0.000

Its space group is Cmmm, No. 65. Its energy of formation is -0.20 eV/atom.

---

[14]
ScAl2Re | meta-GGA SCAN | PBEsol geometry

abc: 3.998 3.998 4.889
angles: 114.14 114.14 90.00
Fractional positions:
Al: 0.750 0.250 0.500
Re: 0.500 0.500 0.000
Al: 0.000 0.000 0.000
Sc: 0.250 0.750 0.500

Its space group is I-4m2, No. 119. Its energy of formation is -0.20 eV/atom.

---

[15]
ScAl2Re | meta-GGA SCAN | PBEsol geometry

abc: 3.473 4.382 5.027
angles: 115.84 110.21 90.00
Fractional positions:
Re: 0.500 0.000 0.000
Al: 0.761 0.761 0.523
Al: 0.239 0.239 0.477
Sc: 0.000 0.500 0.000

Its space group is Immm, No. 71. Its energy of formation is -0.36 eV/atom.

---

[16]
AlReSe | meta-GGA SCAN | PBEsol geometry

abc: 3.091 3.091 5.788
angles: 90.00 90.00 120.00
Fractional positions:
Se: 0.667 0.333 0.355
Al: 0.000 0.000 0.986
Re: 0.333 0.667 0.659

Its space group is P3m1, No. 156. For the raw total energy, the calculation gives -98.632 eV for the cell shown.

---

[17]
AlRe2Se | meta-GGA SCAN | PBEsol geometry

abc: 2.961 4.427 4.466
angles: 90.00 90.00 90.00
Fractional positions:
Re: 0.500 0.000 0.976
Al: 0.500 0.500 0.281
Se: 0.000 0.000 0.462
Re: 0.000 0.500 0.781

Its space group is Pmm2, No. 25. The calculation puts the excess energy over the best structure of this formula in the dataset at 0.000 eV/atom.

---

[18]
AlRe2Se | meta-GGA SCAN | PBEsol geometry

abc: 5.000 5.763 5.763
angles: 79.15 64.29 64.29
Fractional positions:
Re: 0.875 0.070 0.430
Se: 0.000 0.000 0.000
Re: 0.695 0.430 0.930
Se: 0.750 0.500 0.500
Al: 0.500 0.000 0.000
Re: 0.375 0.930 0.570
Re: 0.055 0.570 0.070
Al: 0.250 0.500 0.500

Its space group is I-42d, No. 122. The calculation puts the excess energy over the best structure of this formula in the dataset at 0.760 eV/atom.

---

[19]
AlReSi2 | meta-GGA SCAN | PBEsol geometry

abc: 3.068 4.306 4.306
angles: 105.88 90.00 90.00
Fractional positions:
Si: 0.000 0.000 0.500
Al: 0.500 0.000 0.000
Si: 0.000 0.500 0.000
Re: 0.500 0.500 0.500

Its space group is Cmmm, No. 65. For the raw total energy, the calculation gives -98.214 eV for the cell shown.

---

[20]
AlReSi2 | meta-GGA SCAN | PBEsol geometry

abc: 3.201 3.201 5.210
angles: 90.00 90.00 90.00
Fractional positions:
Al: 0.000 0.000 0.491
Si: 0.500 0.500 0.247
Re: 0.500 0.500 0.763
Si: 0.000 0.000 0.998

Its space group is P4mm, No. 99. For the raw total energy, the calculation gives -99.127 eV for the cell shown.

---

[21]
Al2ReSi | meta-GGA SCAN | PBEsol geometry

abc: 3.217 3.217 5.403
angles: 90.00 90.00 90.00
Fractional positions:
Al: 0.000 0.000 0.994
Al: 0.500 0.500 0.254
Si: 0.500 0.500 0.739
Re: 0.000 0.000 0.513

Its space group is P4mm, No. 99. For the raw total energy, the calculation gives -97.272 eV for the cell shown.

---

[22]
Al2ReSi | meta-GGA SCAN | PBEsol geometry

abc: 3.755 3.755 4.755
angles: 113.26 113.26 90.00
Fractional positions:
Si: 0.000 0.000 0.000
Re: 0.500 0.500 0.000
Al: 0.250 0.750 0.500
Al: 0.750 0.250 0.500

Its space group is I4/mmm, No. 139. For the raw total energy, the calculation gives -96.786 eV for the cell shown.

---

[23]
AlReSn3 | meta-GGA SCAN | PBEsol geometry

abc: 5.141 5.141 5.141
angles: 90.00 90.00 90.00
Fractional positions:
Sn: 0.000 0.000 0.500
Sn: 0.500 0.000 0.000
Re: 0.000 0.000 0.000
Sn: 0.000 0.500 0.000
Al: 0.500 0.500 0.500

Its space group is Pm-3m, No. 221. Its energy of formation is 0.64 eV/atom.

---

[24]
SrAlRe2 | meta-GGA SCAN | PBEsol geometry

abc: 3.091 3.091 7.925
angles: 90.00 90.00 90.00
Fractional positions:
Re: 0.500 0.500 0.184
Re: 0.000 0.000 0.014
Sr: 0.000 0.000 0.492
Al: 0.500 0.500 0.810

Its space group is P4mm, No. 99. Its energy of formation is 0.17 eV/atom.

---

[25]
Sr2AlRe | meta-GGA SCAN | PBEsol geometry

abc: 3.859 5.185 6.085
angles: 115.20 108.48 90.00
Fractional positions:
Sr: 0.023 0.023 0.045
Re: 0.799 0.299 0.598
Al: 0.448 0.448 0.896
Sr: 0.230 0.730 0.461

Its space group is Imm2, No. 44. Its energy of formation is 0.50 eV/atom.

---

[26]
SrAl2Re | meta-GGA SCAN | PBEsol geometry

abc: 2.780 4.625 6.705
angles: 95.28 90.00 107.49
Fractional positions:
Sr: 0.749 0.498 0.263
Al: 0.249 0.497 0.724
Al: 0.993 0.986 0.924
Re: 0.509 0.018 0.589

Its space group is Cm, No. 8. The calculation puts the excess energy over the best structure of this formula in the dataset at 0.109 eV/atom. Its energy of formation is 0.32 eV/atom.

---

[27]
Sr2AlRe | meta-GGA SCAN | PBEsol geometry

abc: 4.435 4.435 4.762
angles: 90.00 90.00 90.00
Fractional positions:
Sr: 0.500 0.000 0.000
Sr: 0.000 0.500 0.000
Al: 0.500 0.500 0.500
Re: 0.000 0.000 0.500

Its space group is P4/mmm, No. 123. Its energy of formation is 0.88 eV/atom.

---

[28]
SrAl2Re | meta-GGA SCAN | PBEsol geometry

abc: 5.076 5.076 9.133
angles: 106.13 106.13 90.00
Fractional positions:
Al: 0.125 0.375 0.250
Al: 0.125 0.875 0.750
Al: 0.625 0.875 0.750
Sr: 0.750 0.250 0.500
Re: 0.250 0.750 0.500
Sr: 0.500 0.500 0.000
Re: 0.000 0.000 0.000
Al: 0.125 0.875 0.250

Its space group is I4_1/amd, No. 141. The calculation puts the excess energy over the best structure of this formula in the dataset at 0.281 eV/atom. Its energy of formation is 0.49 eV/atom.

---

[29]
SrAl2Re | meta-GGA SCAN | PBEsol geometry

abc: 3.379 3.379 7.299
angles: 90.00 90.00 90.00
Fractional positions:
Sr: 0.500 0.500 0.723
Re: 0.000 0.000 0.414
Al: 0.000 0.000 0.071
Al: 0.500 0.500 0.292

Its space group is P4mm, No. 99. The calculation puts the excess energy over the best structure of this formula in the dataset at 0.000 eV/atom. Its energy of formation is 0.21 eV/atom.

---

[30]
SrAl3Re | meta-GGA SCAN | PBEsol geometry

abc: 4.829 4.829 4.829
angles: 90.00 90.00 90.00
Fractional positions:
Sr: 0.500 0.500 0.500
Al: 0.000 0.000 0.500
Al: 0.000 0.500 0.000
Al: 0.500 0.000 0.000
Re: 0.000 0.000 0.000

Its space group is Pm-3m, No. 221. Its energy of formation is -0.26 eV/atom.